(1)
Density functional theory data (meta-GGA SCAN) for MgTaRe3 at its PBEsol-relaxed geometry.

Cell lengths 4.7438, 4.7438, 4.7438 Å; angles 90.00, 90.00, 90.00 degrees
Space group Pm-3m (No. 221)
Asymmetric unit:
Mg 0.0000 0.0000 0.0000 [1 per cell]
Ta 0.5000 0.5000 0.5000 [1 per cell]
Re 0.0000 0.5000 0.5000 [3 per cell]

Results
crystal system = cubic
calculated volume = 107 Å³/cell
VASP energy = -54.924 eV per atom
DOS at the Fermi energy = 0.83 states/eV/atom
calculated formation energy = 2.046 eV per atom

=====

(2)
Density functional theory data (meta-GGA SCAN) for MgTa2Re at its PBEsol-relaxed geometry.

Cell lengths 3.1884, 3.1884, 6.7663 Å; angles 90.00, 90.00, 90.00 degrees
Space group P4/mmm (No. 123)
Asymmetric unit:
Mg 0.0000 0.0000 0.0000 [1 per cell]
Ta 0.5000 0.5000 0.2751 [2 per cell]
Re 0.0000 0.0000 0.5000 [1 per cell]

Results
crystal system = tetragonal
calculated volume = 69 Å³/cell
VASP energy = -52.245 eV per atom
DOS at the Fermi energy = 0.64 states/eV/atom
calculated formation energy = 0.064 eV per atom

=====

(3)
Density functional theory data (meta-GGA SCAN) for MgTaRe2 at its PBEsol-relaxed geometry.

Cell lengths 5.5721, 8.9003, 2.6901 Å; angles 90.00, 109.97, 90.00 degrees
Space group C2/m (No. 12)
Asymmetric unit:
Mg 0.0000 0.0000 0.0000 [2 per cell]
Ta 0.0000 0.5000 0.0000 [2 per cell]
Re 0.2500 0.2500 0.5000 [4 per cell]

Results
crystal system = monoclinic
calculated volume = 125 Å³/cell
VASP energy = -53.359 eV per atom
DOS at the Fermi energy = 0.61 states/eV/atom
calculated formation energy = 0.079 eV per atom